Entry 1:
A geometry-optimized SrTa2Bi2O9 structure, computed with PBE-GGA.

Values from the calculation:
- offset from the most stable computed form (meV/atom) = 11.1

Lattice parameters (Å, degrees): 5.5239 24.8916 5.5351 90.00 90.00 90.00
Last column: nearest neighbours and their distance in Å.
Space group Aea2 (No. 41)
Symmetry-distinct sites (fractional):
Sr 0.0000 0.0000 0.0000 [4 per cell]  8 O 2.54-2.78
Ta 0.0025 0.0858 0.4936 [8 per cell]  5 O 1.89-2.00
Bi 0.0183 0.1997 0.9278 [8 per cell]  3 O 2.21-2.37
O 0.0000 0.0000 0.4979 [4 per cell]  2 Ta 2.14
O 0.0303 0.1613 0.5101 [8 per cell]  1 Ta 1.89
O 0.2157 0.0759 0.7817 [8 per cell]  2 Ta 1.96-2.00
O 0.2176 0.4202 0.7146 [8 per cell]  2 Ta 1.97-2.00
O 0.2450 0.2515 0.2065 [8 per cell]  3 Bi 2.21-2.37


Entry 2:
A geometry-optimized TlZnCoPd structure, computed with PBE-GGA.

Values from the calculation:
- offset from the most stable computed form (meV/atom) = 0.0

Lattice parameters (Å, degrees): 6.3162 6.3162 6.3162 90.00 90.00 90.00
Last column: nearest neighbours and their distance in Å.
Space group F-43m (No. 216)
Symmetry-distinct sites (fractional):
Tl 0.0000 0.0000 0.0000 [4 per cell]  4 Co 2.73, 4 Pd 2.73
Zn 0.0000 0.0000 0.5000 [4 per cell]  4 Co 2.73, 4 Pd 2.73
Co 0.2500 0.2500 0.2500 [4 per cell]  4 Tl 2.73, 4 Zn 2.73
Pd 0.2500 0.2500 0.7500 [4 per cell]  4 Tl 2.73, 4 Zn 2.73


Entry 3:
A geometry-optimized PrSmFe2B2N2 structure, computed with PBE-GGA.

Values from the calculation:
- energy (eV for the cell shown) = -63.09

Lattice parameters (Å, degrees): 3.5663 3.5663 7.8209 90.00 90.00 90.00
Last column: nearest neighbours and their distance in Å.
Space group P4mm (No. 99)
Symmetry-distinct sites (fractional):
Pr 0.0000 0.0000 0.0000 [1 per cell]  5 N 2.51-2.53
Sm 0.5000 0.5000 0.6599 [1 per cell]  5 N 2.49-2.53
Fe 0.0000 0.5000 0.3310 [2 per cell]  4 B 2.18-2.19
B 0.0000 0.0000 0.4911 [1 per cell]  1 N 1.47
B 0.5000 0.5000 0.1682 [1 per cell]  1 N 1.48
N 0.0000 0.0000 0.6796 [1 per cell]  1 B 1.47
N 0.5000 0.5000 0.9788 [1 per cell]  1 B 1.48


Entry 4:
A geometry-optimized ZnCu2Tc structure, computed with PBE-GGA.

Values from the calculation:
- energy (eV for the cell shown) = -72.10

Lattice parameters (Å, degrees): 5.9611 5.9611 5.9611 90.00 90.00 90.00
Last column: nearest neighbours and their distance in Å.
Space group F-43m (No. 216)
Symmetry-distinct sites (fractional):
Zn 0.0000 0.0000 0.0000 [4 per cell]  4 Cu 2.58, 4 Tc 2.58
Cu 0.0000 0.0000 0.5000 [4 per cell]  4 Tc 2.58, 4 Cu 2.58
Cu 0.2500 0.2500 0.2500 [4 per cell]  4 Cu 2.58, 4 Zn 2.58
Tc 0.2500 0.2500 0.7500 [4 per cell]  4 Cu 2.58, 4 Zn 2.58


Entry 5:
A geometry-optimized PuTlB structure, computed with PBE-GGA.

Values from the calculation:
- offset from the most stable computed form (meV/atom) = 0.0

Lattice parameters (Å, degrees): 6.2763 6.2763 6.2763 90.00 90.00 90.00
Last column: nearest neighbours and their distance in Å.
Space group F-43m (No. 216)
Symmetry-distinct sites (fractional):
Pu 0.0000 0.0000 0.0000 [4 per cell]  4 B 2.72
Tl 0.0000 0.0000 0.5000 [4 per cell]  4 B 2.72
B 0.2500 0.2500 0.2500 [4 per cell]  4 Tl 2.72, 4 Pu 2.72


Entry 6:
A geometry-optimized HoGa6Cu structure, computed with PBE-GGA.

Values from the calculation:
- energy (eV for the cell shown) = -27.80

Lattice parameters (Å, degrees): 6.2607 6.2607 4.3100 90.00 90.00 120.00
Last column: nearest neighbours and their distance in Å.
Space group P-6m2 (No. 187)
Symmetry-distinct sites (fractional):
Ho 0.0000 0.0000 0.0000 [1 per cell]  12 Ga 2.96-3.14
Ga 0.0330 0.5165 0.0000 [3 per cell]  2 Cu 2.70, 6 Ga 2.82
Ga 0.3754 0.1877 0.5000 [3 per cell]  6 Ga 2.74-2.82, 2 Ho 2.96
Cu 0.3333 0.6667 0.5000 [1 per cell]  6 Ga 2.70


Entry 7:
A geometry-optimized BaZrBe structure, computed with PBE-GGA.

Values from the calculation:
- offset from the most stable computed form (meV/atom) = 0.0

Lattice parameters (Å, degrees): 6.9634 6.9634 6.9634 90.00 90.00 90.00
Last column: nearest neighbours and their distance in Å.
Space group F-43m (No. 216)
Symmetry-distinct sites (fractional):
Ba 0.0000 0.0000 0.0000 [4 per cell]  4 Be 3.02
Zr 0.0000 0.0000 0.5000 [4 per cell]  4 Be 3.02
Be 0.2500 0.2500 0.2500 [4 per cell]  4 Zr 3.02, 4 Ba 3.02


Entry 8:
A geometry-optimized AcPrPb structure, computed with PBE-GGA.

Values from the calculation:
- offset from the most stable computed form (meV/atom) = 0.0

Lattice parameters (Å, degrees): 7.8359 7.8359 7.8359 90.00 90.00 90.00
Last column: nearest neighbours and their distance in Å.
Space group F-43m (No. 216)
Symmetry-distinct sites (fractional):
Ac 0.0000 0.0000 0.0000 [4 per cell]  4 Pb 3.39
Pr 0.0000 0.0000 0.5000 [4 per cell]  4 Pb 3.39
Pb 0.2500 0.2500 0.2500 [4 per cell]  4 Ac 3.39, 4 Pr 3.39


Entry 9:
A geometry-optimized LaPrNi2Sn4 structure, computed with PBE-GGA.

Values from the calculation:
- energy (eV for the cell shown) = -83.88

Lattice parameters (Å, degrees): 4.5788 4.5002 18.3344 90.00 90.00 90.00
Last column: nearest neighbours and their distance in Å.
Space group Amm2 (No. 38)
Symmetry-distinct sites (fractional):
La 0.0000 0.0000 0.0000 [2 per cell]  10 Sn 3.41-3.63, 4 Ni 3.48
Pr 0.5000 0.0000 0.2175 [2 per cell]  10 Sn 3.41-3.62, 4 Ni 3.48
Ni 0.0000 0.0000 0.7908 [2 per cell]  5 Sn 2.48-2.59
Ni 0.5000 0.0000 0.4265 [2 per cell]  5 Sn 2.49-2.60
Sn 0.0000 0.0000 0.3597 [2 per cell]  4 Ni 2.58-2.60
Sn 0.0000 0.0000 0.6555 [2 per cell]  1 Ni 2.48
Sn 0.5000 0.0000 0.5625 [2 per cell]  1 Ni 2.49
Sn 0.5000 0.0000 0.8573 [2 per cell]  4 Ni 2.58-2.59


Entry 10:
A geometry-optimized TmCdInSe3 structure, computed with PBE-GGA.

Values from the calculation:
- offset from the most stable computed form (meV/atom) = 0.0

Lattice parameters (Å, degrees): 4.1902 14.4651 11.0097 90.00 90.00 90.00
Last column: nearest neighbours and their distance in Å.
Space group Cmcm (No. 63)
Symmetry-distinct sites (fractional):
Tm 0.0000 0.0000 0.0000 [4 per cell]  6 Se 2.88-2.95
Cd 0.0000 0.4556 0.2500 [4 per cell]  4 Se 2.61-2.70
In 0.0000 0.2536 0.7500 [4 per cell]  8 Se 3.26-3.62
Se 0.0000 0.0734 0.2500 [4 per cell]  2 Cd 2.70, 2 Tm 2.95
Se 0.0000 0.3677 0.0430 [8 per cell]  1 Cd 2.61, 2 Tm 2.88


Entry 11:
A geometry-optimized GdSiTc structure, computed with PBE-GGA.

Values from the calculation:
- offset from the most stable computed form (meV/atom) = 0.0

Lattice parameters (Å, degrees): 6.2685 6.2685 6.2685 90.00 90.00 90.00
Last column: nearest neighbours and their distance in Å.
Space group F-43m (No. 216)
Symmetry-distinct sites (fractional):
Gd 0.0000 0.0000 0.0000 [4 per cell]  4 Si 2.71
Si 0.2500 0.2500 0.2500 [4 per cell]  4 Gd 2.71, 4 Tc 2.71
Tc 0.0000 0.0000 0.5000 [4 per cell]  4 Si 2.71


Entry 12:
A geometry-optimized NdDyIn6 structure, computed with PBE-GGA.

Values from the calculation:
- energy (eV for the cell shown) = -28.85

Lattice parameters (Å, degrees): 6.7523 6.7523 5.1426 90.00 90.00 120.00
Last column: nearest neighbours and their distance in Å.
Space group P-6m2 (No. 187)
Symmetry-distinct sites (fractional):
Nd 0.0000 0.0000 0.0000 [1 per cell]  12 In 3.29-3.38
Dy 0.6667 0.3333 0.5000 [1 per cell]  12 In 3.27-3.38
In 0.0113 0.5056 0.0000 [3 per cell]  8 In 3.18-3.49, 2 Dy 3.27, 2 Nd 3.38
In 0.1759 0.3517 0.5000 [3 per cell]  6 In 3.18-3.19, 2 Nd 3.29, 2 Dy 3.38


Calculated volume, record by record: 13.6 15.7 12.4 13.2 20.6 18.3 28.1 40.1 23.6 27.8 20.5 25.4 Å³ per atom